This record from Alexandria describes a PBEsol-optimized structure of Os2WAu. The functional is meta-GGA SCAN.

Lattice parameters (Å, degrees): 2.7799 3.8588 5.6118 90.00 90.00 90.00
Fractional coordinates of all 4 atoms:
Os (0.0000, 0.0000, 0.2380)
Os (0.0000, 0.0000, 0.7620)
W (0.5000, 0.5000, 0.0000)
Au (0.5000, 0.5000, 0.5000)

Calculated values
Its space group is Pmmm, No. 47. As for the crystal system: orthorhombic. The value obtained for the density of states at the Fermi level is 0.887 states/eV per atom. The value obtained for the formation energy is 137 kJ/mol of formula units. Its uncorrected energy is -281.19 eV/f.u.

***

This record from Alexandria describes a PBEsol-optimized structure of YOs3Au. The functional is meta-GGA SCAN.

Lattice parameters (Å, degrees): 4.7268 4.7268 4.7268 90.00 90.00 90.00
Fractional coordinates of all 5 atoms:
Y (0.0000, 0.0000, 0.0000)
Os (0.0000, 0.0000, 0.5000)
Os (0.0000, 0.5000, 0.0000)
Os (0.5000, 0.0000, 0.0000)
Au (0.5000, 0.5000, 0.5000)

Calculated values
Its space group is Pm-3m, No. 221. As for the crystal system: cubic. The value obtained for the density of states at the Fermi level is 0.812 states/eV per atom. The value obtained for the formation energy is 1525 kJ/mol of formula units. Its uncorrected energy is -296.84 eV/f.u.

***

This record from Alexandria describes a PBEsol-optimized structure of Y2Os2Au. The functional is meta-GGA SCAN.

Lattice parameters (Å, degrees): 8.8132 8.8132 8.8132 156.78 156.78 33.08
Fractional coordinates of all 5 atoms:
Y (0.1058, 0.1058, 0.0000)
Y (0.8942, 0.8942, 0.0000)
Os (0.2500, 0.7500, 0.5000)
Os (0.7500, 0.2500, 0.5000)
Au (0.5000, 0.5000, 0.0000)

Calculated values
Its space group is I4/mmm, No. 139. As for the crystal system: tetragonal. The value obtained for the density of states at the Fermi level is 0.743 states/eV per atom. The value obtained for the formation energy is -130 kJ/mol of formula units. Its uncorrected energy is -269.95 eV/f.u.

***

This record from Alexandria describes a PBEsol-optimized structure of ZnOs2Au. The functional is meta-GGA SCAN.

Lattice parameters (Å, degrees): 2.6949 2.6949 8.0099 90.00 90.00 90.00
Fractional coordinates of all 4 atoms:
Zn (0.0000, 0.0000, 0.0000)
Os (0.5000, 0.5000, 0.2397)
Os (0.5000, 0.5000, 0.7603)
Au (0.0000, 0.0000, 0.5000)

Calculated values
Its space group is P4/mmm, No. 123. As for the crystal system: tetragonal. The value obtained for the density of states at the Fermi level is 1.019 states/eV per atom. The value obtained for the formation energy is 262 kJ/mol of formula units. Its uncorrected energy is -223.71 eV/f.u.

***

This record from Alexandria describes a PBEsol-optimized structure of ZnOsAu2. The functional is meta-GGA SCAN.

Lattice parameters (Å, degrees): 4.8552 4.8552 4.9609 101.49 101.49 32.42
Fractional coordinates of all 4 atoms:
Zn (0.0000, 0.0000, 0.0000)
Os (0.7389, 0.7389, 0.2272)
Au (0.2555, 0.2555, 0.7409)
Au (0.4931, 0.4931, 0.4788)

Calculated values
Its space group is Cm, No. 8. As for the crystal system: monoclinic. The value obtained for the density of states at the Fermi level is 0.539 states/eV per atom. The value obtained for the formation energy is 118 kJ/mol of formula units. Its uncorrected energy is -222.49 eV/f.u.

***

This record from Alexandria describes a PBEsol-optimized structure of ZnOs2Au. The functional is meta-GGA SCAN.

Lattice parameters (Å, degrees): 2.7579 4.0220 5.3043 90.00 90.00 90.00
Fractional coordinates of all 4 atoms:
Zn (0.0000, 0.0000, 0.0000)
Os (0.5000, 0.5000, 0.2269)
Os (0.5000, 0.5000, 0.7731)
Au (0.0000, 0.0000, 0.5000)

Calculated values
Its space group is Pmmm, No. 47. As for the crystal system: orthorhombic. The value obtained for the density of states at the Fermi level is 0.850 states/eV per atom. The value obtained for the formation energy is 227 kJ/mol of formula units. Its uncorrected energy is -224.08 eV/f.u.

***

This record from Alexandria describes a PBEsol-optimized structure of Zn2OsAu. The functional is meta-GGA SCAN.

Lattice parameters (Å, degrees): 4.1147 4.1147 3.3361 90.00 90.00 90.00
Fractional coordinates of all 4 atoms:
Zn (0.0000, 0.5000, 0.0000)
Zn (0.5000, 0.0000, 0.0000)
Os (0.0000, 0.0000, 0.5000)
Au (0.5000, 0.5000, 0.5000)

Calculated values
Its space group is P4/mmm, No. 123. As for the crystal system: tetragonal. The value obtained for the density of states at the Fermi level is 0.356 states/eV per atom. The value obtained for the formation energy is 13 kJ/mol of formula units. Its uncorrected energy is -167.93 eV/f.u.

***

This record from Alexandria describes a PBEsol-optimized structure of ZnOsAu. The functional is meta-GGA SCAN.

Lattice parameters (Å, degrees): 4.1098 4.1098 4.1098 60.00 60.00 60.00
Fractional coordinates of all 3 atoms:
Zn (0.0000, 0.0000, 0.0000)
Os (0.2500, 0.2500, 0.2500)
Au (0.7500, 0.7500, 0.7500)

Calculated values
Its space group is F-43m, No. 216. As for the crystal system: cubic. The value obtained for the density of states at the Fermi level is 1.144 states/eV per atom. The value obtained for the formation energy is 239 kJ/mol of formula units. Its uncorrected energy is -152.08 eV/f.u.

***

This record from Alexandria describes a PBEsol-optimized structure of ZnOs2Au. The functional is meta-GGA SCAN.

Lattice parameters (Å, degrees): 2.7826 2.7826 7.5709 90.00 90.00 90.00
Fractional coordinates of all 4 atoms:
Zn (0.0000, 0.0000, 0.0000)
Os (0.0000, 0.0000, 0.5342)
Os (0.5000, 0.5000, 0.7528)
Au (0.5000, 0.5000, 0.2542)

Calculated values
Its space group is P4mm, No. 99. As for the crystal system: tetragonal. The value obtained for the density of states at the Fermi level is 0.514 states/eV per atom. The value obtained for the formation energy is 43 kJ/mol of formula units. Its uncorrected energy is -225.98 eV/f.u.

***

This record from Alexandria describes a PBEsol-optimized structure of ZnOs2Au. The functional is meta-GGA SCAN.

Lattice parameters (Å, degrees): 5.1728 5.1728 5.1728 147.46 127.90 62.78
Fractional coordinates of all 4 atoms:
Zn (0.0000, 0.0000, 0.0000)
Os (0.5121, 0.5121, 0.0000)
Os (0.7543, 0.2543, 0.5000)
Au (0.2429, 0.7429, 0.5000)

Calculated values
Its space group is Imm2, No. 44. As for the crystal system: orthorhombic. The value obtained for the density of states at the Fermi level is 0.591 states/eV per atom. The value obtained for the formation energy is 200 kJ/mol of formula units. Its uncorrected energy is -224.36 eV/f.u.

***

This record from Alexandria describes a PBEsol-optimized structure of ZnOs2Au. The functional is meta-GGA SCAN.

Lattice parameters (Å, degrees): 5.4391 5.4391 2.7462 104.29 104.29 121.82
Fractional coordinates of all 4 atoms:
Zn (0.0000, 0.0000, 0.0000)
Os (0.0000, 0.5000, 0.5000)
Os (0.5000, 0.0000, 0.5000)
Au (0.5000, 0.5000, 0.0000)

Calculated values
Its space group is C2/m, No. 12. As for the crystal system: monoclinic. The value obtained for the density of states at the Fermi level is 0.854 states/eV per atom. The value obtained for the formation energy is 200 kJ/mol of formula units. Its uncorrected energy is -224.36 eV/f.u.

***

This record from Alexandria describes a PBEsol-optimized structure of ZnOs2Au. The functional is meta-GGA SCAN.

Lattice parameters (Å, degrees): 3.7669 3.7669 4.1051 90.00 90.00 90.00
Fractional coordinates of all 4 atoms:
Zn (0.0000, 0.0000, 0.0000)
Os (0.0000, 0.5000, 0.5000)
Os (0.5000, 0.0000, 0.5000)
Au (0.5000, 0.5000, 0.0000)

Calculated values
Its space group is P4/mmm, No. 123. As for the crystal system: tetragonal. The value obtained for the density of states at the Fermi level is 0.851 states/eV per atom. The value obtained for the formation energy is 221 kJ/mol of formula units. Its uncorrected energy is -224.14 eV/f.u.

***

This record from Alexandria describes a PBEsol-optimized structure of Zr2OsAu. The functional is meta-GGA SCAN.

Lattice parameters (Å, degrees): 9.2369 9.2369 9.2369 19.35 19.35 19.35
Fractional coordinates of all 4 atoms:
Zr (0.0000, 0.0000, 0.0000)
Zr (0.2366, 0.2366, 0.2366)
Os (0.4981, 0.4981, 0.4981)
Au (0.7493, 0.7493, 0.7493)

Calculated values
Its space group is R3m, No. 160. As for the crystal system: trigonal. The value obtained for the density of states at the Fermi level is 0.848 states/eV per atom. The value obtained for the formation energy is 37 kJ/mol of formula units. Its uncorrected energy is -202.06 eV/f.u.

***

This record from Alexandria describes a PBEsol-optimized structure of Zr2OsAu. The functional is meta-GGA SCAN.

Lattice parameters (Å, degrees): 3.2018 3.2018 7.1216 90.00 90.00 90.00
Fractional coordinates of all 4 atoms:
Zr (0.0000, 0.0000, 0.2318)
Zr (0.0000, 0.0000, 0.7682)
Os (0.5000, 0.5000, 0.0000)
Au (0.5000, 0.5000, 0.5000)

Calculated values
Its space group is P4/mmm, No. 123. As for the crystal system: tetragonal. The value obtained for the density of states at the Fermi level is 0.735 states/eV per atom. The value obtained for the formation energy is -274 kJ/mol of formula units. Its uncorrected energy is -205.27 eV/f.u.

***

This record from Alexandria describes a PBEsol-optimized structure of Zr2OsAu. The functional is meta-GGA SCAN.

Lattice parameters (Å, degrees): 3.2593 4.4631 5.2456 90.00 103.25 90.00
Fractional coordinates of all 4 atoms:
Zr (0.0000, 0.0000, 0.0000)
Zr (0.2259, 0.5000, 0.5763)
Os (0.6882, 0.0000, 0.4809)
Au (0.5427, 0.5000, 0.1165)

Calculated values
Its space group is Pm, No. 6. As for the crystal system: monoclinic. The value obtained for the density of states at the Fermi level is 0.565 states/eV per atom. The value obtained for the formation energy is -263 kJ/mol of formula units. Its uncorrected energy is -205.16 eV/f.u.